Material: InMoRh3
Method: DFT, GGA-PBEsol
State: relaxed

abc: 4.6172 4.6172 4.6172
angles: 90.00 90.00 90.00
Last column: nearest neighbours and their distance in Å.
Space group Pm-3m (No. 221)
Unique sites:
In (0.0000, 0.0000, 0.0000)  12 Rh 3.26
Mo (0.5000, 0.5000, 0.5000)  6 Rh 2.31
Rh (0.0000, 0.5000, 0.5000)  2 Mo 2.31

Calculated values
- VASP energy: -6.8421 eV/atom
- Formation energy: 95.63 kJ per mole of atoms

***

Material: AsBrCl
Method: DFT, GGA-PBEsol
State: relaxed

abc: 6.5911 6.5911 6.5911
angles: 90.00 90.00 90.00
Last column: nearest neighbours and their distance in Å.
Space group F-43m (No. 216)
Unique sites:
As (0.0000, 0.0000, 0.0000)  4 Cl 2.85, 4 Br 2.85
Br (0.2500, 0.2500, 0.7500)  4 As 2.85
Cl (0.2500, 0.2500, 0.2500)  4 As 2.85

Calculated values
- VASP energy: -2.8955 eV/atom
- Energy above the lowest structure with this stoichiometry: 164 meV per atom
- Energy relative to the elements, uncorrected: 99 meV/atom

***

Material: TeIO2
Method: DFT, GGA-PBEsol
State: relaxed

abc: 3.8004 3.8004 18.2907
angles: 90.00 90.00 120.00
Last column: nearest neighbours and their distance in Å.
Space group R-3m (No. 166, hexagonal axes)
Unique sites:
Te (0.0000, 0.0000, 0.0000)  6 O 2.35
I (0.0000, 0.0000, 0.5000)  2 O 2.22
O (0.0000, 0.0000, 0.3789)  1 I 2.22, 3 Te 2.35

Calculated values
- VASP energy: -4.2172 eV/atom
- Energy relative to the elements, uncorrected: -269 meV/atom

***

Material: Na2VOF4
Method: DFT, GGA-PBEsol
State: relaxed

abc: 12.6491 10.2336 6.7358
angles: 90.00 107.14 90.00
Last column: nearest neighbours and their distance in Å.
Space group C2/c (No. 15)
Unique sites:
Na (0.1017, 0.1067, 0.1234)  6 F 2.29-2.55
Na (0.1655, 0.4053, 0.0304)  4 F 2.25-2.37, 1 O 2.34
V (0.1354, 0.2619, 0.5819)  1 O 1.61
O (0.0134, 0.3258, 0.5125)  1 V 1.61
F (0.0936, 0.0913, 0.4614)  1 V 1.93
F (0.1549, 0.1872, 0.8479)  1 V 1.90
F (0.1882, 0.3030, 0.3446)  1 V 1.95
F (0.2118, 0.4139, 0.7269)  1 V 1.94

Calculated values
- VASP energy: -5.9311 eV/atom
- Energy relative to the elements, uncorrected: -2757 meV/atom

***

Material: NbCuSn3
Method: DFT, GGA-PBEsol
State: relaxed

abc: 4.9101 4.9101 4.9101
angles: 90.00 90.00 90.00
Last column: nearest neighbours and their distance in Å.
Space group Pm-3m (No. 221)
Unique sites:
Nb (0.0000, 0.0000, 0.0000)  12 Sn 3.47
Cu (0.5000, 0.5000, 0.5000)  6 Sn 2.46
Sn (0.0000, 0.5000, 0.5000)  2 Cu 2.46

Calculated values
- VASP energy: -4.7817 eV/atom
- Formation energy: 77.67 kJ per mole of atoms

***

Material: Ag2BrCl
Method: DFT, GGA-PBEsol
State: relaxed

abc: 3.9369 3.9369 19.0768
angles: 90.00 90.00 120.00
Last column: nearest neighbours and their distance in Å.
Space group R-3m (No. 166, hexagonal axes)
Unique sites:
Ag (0.0000, 0.0000, 0.2465)  3 Cl 2.74, 3 Br 2.81
Br (0.0000, 0.0000, 0.0000)  6 Ag 2.81
Cl (0.0000, 0.0000, 0.5000)  6 Ag 2.74

Calculated values
- VASP energy: -2.9368 eV/atom
- Energy above the lowest structure with this stoichiometry: 0 meV per atom
- Energy relative to the elements, uncorrected: -312 meV/atom

***

Material: Sr2MnGaO5
Method: DFT, GGA-PBEsol
State: relaxed

abc: 15.7191 5.5883 5.4057
angles: 90.00 90.00 90.00
Last column: nearest neighbours and their distance in Å.
Space group Ima2 (No. 46)
Unique sites:
Sr (0.1098, 0.0164, 0.0000)  7 O 2.44-2.64
Mn (0.0000, 0.0000, 0.4963)  4 O 1.94-1.95
Ga (0.2500, 0.5703, 0.0353)  4 O 1.85-1.89
O (0.0064, 0.7474, 0.2479)  2 Mn 1.94-1.95
O (0.1422, 0.0481, 0.4776)  1 Ga 1.85
O (0.2500, 0.6291, 0.3792)  2 Ga 1.88-1.89

Calculated values
- VASP energy: -7.1128 eV/atom
- Energy above the lowest structure with this stoichiometry: 0 meV per atom
- Energy relative to the elements, uncorrected: -2332 meV/atom

***

Material: ScMnCr
Method: DFT, GGA-PBEsol
State: relaxed

abc: 7.9255 4.9132 8.4979
angles: 90.00 90.00 90.00
Last column: nearest neighbours and their distance in Å.
Space group Amm2 (No. 38)
Unique sites:
Sc (0.1844, 0.0000, 0.0000)  7 Mn 2.86, 5 Cr 2.86-2.88, 4 Sc 2.92-3.00
Sc (0.3086, 0.0000, 0.6662)  5 Mn 2.80-2.89, 7 Cr 2.88-2.89, 4 Sc 3.00-3.03
Mn (0.0000, 0.0000, 0.5050)  4 Mn 2.38-2.52, 2 Cr 2.42
Mn (0.0000, 0.2437, 0.7477)  4 Mn 2.38-2.52, 2 Cr 2.41
Mn (0.5000, 0.0000, 0.1627)  6 Cr 2.41-2.50
Cr (0.2430, 0.0000, 0.3318)  4 Mn 2.41-2.49, 2 Cr 2.50
Cr (0.5000, 0.2473, 0.9184)  2 Mn 2.41-2.50, 4 Cr 2.43-2.50

Calculated values
- VASP energy: -8.8831 eV/atom
- Energy above the lowest structure with this stoichiometry: 0 meV per atom
- Formation energy: -1.33 kJ per mole of atoms

***

Material: Zn5Cu3
Method: DFT, GGA-PBEsol
State: relaxed

abc: 9.3920 9.3920 4.6947
angles: 90.00 90.00 90.00
Last column: nearest neighbours and their distance in Å.
Space group I4/mcm (No. 140)
Unique sites:
Zn (0.0000, 0.5000, 0.2500)  2 Zn 2.35, 4 Cu 2.58
Zn (0.0736, 0.2284, 0.0000)  6 Cu 2.44-2.69, 3 Zn 2.63-2.72
Cu (0.0000, 0.0000, 0.2500)  2 Cu 2.35, 8 Zn 2.54
Cu (0.1728, 0.3272, 0.5000)  10 Zn 2.44-2.69

Calculated values
- VASP energy: -2.6607 eV/atom
- Energy above the lowest structure with this stoichiometry: 30 meV per atom
- Formation energy: -4.51 kJ per mole of atoms

***

Material: MnTeCI2
Method: DFT, GGA-PBEsol
State: relaxed

abc: 4.8168 4.8168 4.9853
angles: 90.00 90.00 90.00
Last column: nearest neighbours and their distance in Å.
Space group P4/mmm (No. 123)
Unique sites:
Mn (0.0000, 0.0000, 0.0000)  4 Te 3.41, 8 I 3.47
Te (0.5000, 0.5000, 0.0000)  2 C 2.49
C (0.5000, 0.5000, 0.5000)  4 I 2.41, 2 Te 2.49
I (0.0000, 0.5000, 0.5000)  2 C 2.41

Calculated values
- VASP energy: -4.0744 eV/atom
- Energy relative to the elements, uncorrected: 1219 meV/atom

***

Material: Cu11Sb3
Method: DFT, GGA-PBEsol
State: relaxed

abc: 4.2280 18.9097 4.7536
angles: 90.00 90.00 90.00
Last column: nearest neighbours and their distance in Å.
Space group Amm2 (No. 38)
Unique sites:
Cu (0.0000, 0.0000, 0.0000)  6 Cu 2.55-2.62, 4 Sb 2.73-2.77
Cu (0.0000, 0.0733, 0.4497)  7 Cu 2.55-2.77, 4 Sb 2.68-2.76
Cu (0.0000, 0.2140, 0.4532)  9 Cu 2.55-2.74, 3 Sb 2.65-2.71
Cu (0.5000, 0.0730, 0.1461)  7 Cu 2.56-2.78, 4 Sb 2.68-2.79
Cu (0.5000, 0.1479, 0.5974)  7 Cu 2.51-2.64, 3 Sb 2.71-2.80
Cu (0.5000, 0.2197, 0.1408)  9 Cu 2.51-2.78, 2 Sb 2.69
Sb (0.0000, 0.1458, 0.9541)  12 Cu 2.65-2.77
Sb (0.5000, 0.0000, 0.6367)  12 Cu 2.68-2.80

Calculated values
- VASP energy: -4.3270 eV/atom
- Energy relative to the elements, uncorrected: 55 meV/atom

***

Material: CrTc2Pt
Method: DFT, GGA-PBEsol
State: relaxed

abc: 8.8897 2.6632 4.6630
angles: 90.00 100.33 90.00
Last column: nearest neighbours and their distance in Å.
Space group Cm (No. 8)
Unique sites:
Cr (0.0000, 0.0000, 0.0000)  7 Tc 2.60-2.77, 2 Cr 2.66, 3 Pt 2.67-2.68
Tc (0.2422, 0.5000, 0.2432)  3 Cr 2.61-2.73, 5 Tc 2.62-2.68, 4 Pt 2.66-2.71
Tc (0.4961, 0.0000, 0.4787)  4 Cr 2.60-2.77, 5 Tc 2.62-2.68, 3 Pt 2.72-2.73
Pt (0.2500, 0.0000, 0.7519)  7 Tc 2.66-2.73, 2 Pt 2.66, 3 Cr 2.67-2.68

Calculated values
- VASP energy: -9.9351 eV/atom
- Energy above the lowest structure with this stoichiometry: 0 meV per atom
- Formation energy: -0.05 kJ per mole of atoms